Here is a relaxed Li2PdPb crystal from OQMD via LeMat-Bulk. Energies are from PBE.

Energy ... -3.5404 eV per atom

Unit cell a=7.827 b=7.434 c=4.889 alpha=90.00 beta=90.00 gamma=90.00
Element x y z (fractional)
1 Li 0.173 0.079 0.026
2 Li 0.173 0.421 0.026
3 Li 0.327 0.579 0.526
4 Li 0.327 0.921 0.526
5 Li 0.673 0.079 0.474
6 Li 0.673 0.421 0.474
7 Li 0.827 0.579 0.974
8 Li 0.827 0.921 0.974
9 Pd 0.146 0.750 0.972
10 Pd 0.354 0.250 0.472
11 Pd 0.646 0.750 0.528
12 Pd 0.854 0.250 0.028
13 Pb 0.010 0.250 0.526
14 Pb 0.490 0.750 0.026
15 Pb 0.510 0.250 0.974
16 Pb 0.990 0.750 0.474